# 1
DFT (PBE) results for a relaxed structure of TmTh3Pb4.

a = 6.3646 Å, b = 10.8620 Å, c = 9.5194 Å
α = 90.00°, β = 90.00°, γ = 90.00°
With the nearest neighbours (Å) after each atom.
Space group Pmmn (No. 59, origin choice 2)
Inequivalent atoms, fractional coordinates:
Tm  0.2500  0.2500  0.1688 x2  5 Pb 3.12-3.18
Th  0.2500  0.5008  0.6668 x4  5 Pb 3.12-3.19
Th  0.2500  0.7500  0.1597 x2  5 Pb 3.13-3.18
Pb  0.2500  0.0007  0.3323 x4  1 Tm 3.12, 4 Th 3.18
Pb  0.2500  0.2500  0.8414 x2  1 Tm 3.12, 4 Th 3.18-3.19
Pb  0.2500  0.7500  0.8306 x2  3 Th 3.12-3.13, 2 Tm 3.18

Properties
- DFT formation energy (kcal/mol of atoms) = 2.65


# 2
DFT (PBE) results for a relaxed structure of Tm4ThPb5.

a = 3.5481 Å, b = 3.5481 Å, c = 22.2337 Å
α = 90.00°, β = 90.00°, γ = 90.00°
With the nearest neighbours (Å) after each atom.
Space group P4/mmm (No. 123)
Inequivalent atoms, fractional coordinates:
Tm  0.0000  0.0000  0.0984 x2  8 Pb 3.33-3.34, 4 Tm 3.55
Tm  0.0000  0.0000  0.2959 x2  8 Pb 3.31-3.33, 4 Tm 3.55
Th  0.0000  0.0000  0.5000 x1  8 Pb 3.45, 4 Th 3.55
Pb  0.5000  0.5000  0.0000 x1  8 Tm 3.33, 4 Pb 3.55
Pb  0.5000  0.5000  0.1972 x2  8 Tm 3.33-3.34, 4 Pb 3.55
Pb  0.5000  0.5000  0.3933 x2  4 Tm 3.31, 4 Th 3.45, 4 Pb 3.55

Properties
- DFT formation energy (kcal/mol of atoms) = -8.05


# 3
DFT (PBE) results for a relaxed structure of Tm3ThPb4.

a = 11.1779 Å, b = 6.4188 Å, c = 6.4259 Å
α = 90.00°, β = 90.00°, γ = 90.00°
With the nearest neighbours (Å) after each atom.
Space group Pmna (No. 53)
Inequivalent atoms, fractional coordinates:
Tm  0.0000  0.0000  0.0000 x2  8 Pb 3.21-3.58
Tm  0.2500  0.2566  0.2500 x4  6 Pb 3.21-3.58, 2 Th 3.58
Th  0.0000  0.5000  0.5000 x2  4 Pb 3.21, 4 Tm 3.58
Pb  0.0000  0.0000  0.5000 x2  2 Th 3.21, 2 Tm 3.21, 4 Pb 3.58
Pb  0.0000  0.5000  0.0000 x2  6 Tm 3.21-3.58, 2 Th 3.21
Pb  0.2500  0.2439  0.7500 x4  6 Tm 3.21-3.58, 2 Pb 3.58

Properties
- DFT formation energy (kcal/mol of atoms) = -7.85


# 4
DFT (PBE) results for a relaxed structure of TmTh2Pb3.

a = 5.1869 Å, b = 14.8882 Å, c = 4.5493 Å
α = 90.00°, β = 90.00°, γ = 90.00°
With the nearest neighbours (Å) after each atom.
Space group Cmmm (No. 65)
Inequivalent atoms, fractional coordinates:
Tm  0.0000  0.0000  0.0000 x2  8 Pb 3.31-3.45, 4 Th 3.58
Th  0.0000  0.3345  0.0000 x4  8 Pb 3.35-3.45, 2 Tm 3.58, 2 Th 3.61
Pb  0.0000  0.1619  0.5000 x4  2 Tm 3.31, 6 Th 3.43-3.45, 4 Pb 3.54-3.69
Pb  0.0000  0.5000  0.5000 x2  4 Th 3.35, 4 Tm 3.45, 4 Pb 3.54

Properties
- DFT formation energy (kcal/mol of atoms) = -7.05


# 5
DFT (PBE) results for a relaxed structure of TmThPb.

a = 4.5623 Å, b = 4.5623 Å, c = 17.4765 Å
α = 90.00°, β = 90.00°, γ = 90.00°
With the nearest neighbours (Å) after each atom.
Space group I4/mmm (No. 139)
Inequivalent atoms, fractional coordinates:
Tm  0.0000  0.0000  0.1729 x4  5 Pb 3.13-3.26
Th  0.0000  0.5000  0.0000 x4  4 Th 3.23, 4 Pb 3.45
Pb  0.0000  0.0000  0.3521 x4  5 Tm 3.13-3.26, 4 Th 3.45

Properties
- DFT formation energy (kcal/mol of atoms) = -7.16


# 6
DFT (PBE) results for a relaxed structure of Tm4ThPb15.

a = 4.9467 Å, b = 4.9467 Å, c = 23.6328 Å
α = 90.00°, β = 90.00°, γ = 90.00°
With the nearest neighbours (Å) after each atom.
Space group P4/mmm (No. 123)
Inequivalent atoms, fractional coordinates:
Tm  0.0000  0.0000  0.0979 x2  12 Pb 3.39-3.50
Tm  0.0000  0.0000  0.3017 x2  12 Pb 3.35-3.50
Th  0.0000  0.0000  0.5000 x1  12 Pb 3.46-3.50
Pb  0.0000  0.5000  0.0000 x2  4 Tm 3.39, 8 Pb 3.42-3.50
Pb  0.0000  0.5000  0.1991 x4  8 Pb 3.40-3.50, 4 Tm 3.44-3.46
Pb  0.0000  0.5000  0.3975 x4  2 Tm 3.35, 8 Pb 3.42-3.50, 2 Th 3.46
Pb  0.5000  0.5000  0.1000 x2  8 Pb 3.41-3.42, 4 Tm 3.50
Pb  0.5000  0.5000  0.2978 x2  8 Pb 3.40-3.42, 4 Tm 3.50
Pb  0.5000  0.5000  0.5000 x1  8 Pb 3.46, 4 Th 3.50

Properties
- DFT formation energy (kcal/mol of atoms) = -5.01


# 7
DFT (PBE) results for a relaxed structure of TmTh6Pb10.

a = 9.6668 Å, b = 9.6668 Å, c = 6.4309 Å
α = 90.00°, β = 90.00°, γ = 120.00°
With the nearest neighbours (Å) after each atom.
Space group P-31m (No. 162)
Inequivalent atoms, fractional coordinates:
Tm  0.0000  0.0000  0.0000 x1  6 Pb 3.08
Th  0.0000  0.3876  0.7566 x6  9 Pb 3.31-3.56
Pb  0.0000  0.2605  0.2760 x6  1 Tm 3.08, 4 Th 3.31-3.41
Pb  0.3333  0.6667  0.0000 x2  2 Pb 3.22, 6 Th 3.38
Pb  0.3333  0.6667  0.5000 x2  2 Pb 3.22, 6 Th 3.42

Properties
- DFT formation energy (kcal/mol of atoms) = -6.05


# 8
DFT (PBE) results for a relaxed structure of TmThPb6.

a = 4.8972 Å, b = 4.8972 Å, c = 9.7205 Å
α = 90.00°, β = 90.00°, γ = 90.00°
With the nearest neighbours (Å) after each atom.
Space group P4/mmm (No. 123)
Inequivalent atoms, fractional coordinates:
Tm  0.0000  0.0000  0.0000 x1  12 Pb 3.41-3.46
Th  0.0000  0.0000  0.5000 x1  12 Pb 3.46-3.49
Pb  0.0000  0.5000  0.2448 x4  8 Pb 3.41-3.49, 2 Tm 3.41, 2 Th 3.49
Pb  0.5000  0.5000  0.0000 x1  8 Pb 3.41, 4 Tm 3.46
Pb  0.5000  0.5000  0.5000 x1  4 Th 3.46, 8 Pb 3.49

Properties
- DFT formation energy (kcal/mol of atoms) = -5.06


| no. | uncorrected energy (Ry per atom) |
| --- | --- |
| 1 | -0.37342 |
| 2 | -0.34793 |
| 3 | -0.35272 |
| 4 | -0.39531 |
| 5 | -0.40501 |
| 6 | -0.31338 |
| 7 | -0.39142 |
| 8 | -0.32980 |